Entry from Alexandria via LeMat-Bulk: Cs3Dy2ThSe6 after structural relaxation (GGA-PBE).

```
12
Lattice="3.704 -6.416 0.000 3.704 6.416 0.000 -2.469 0.000 8.425" Properties=species:S:1:pos:R:3 pbc="T T T"
Cs 0.000 0.000 0.000
Cs 3.704 2.137 0.000
Cs 3.704 -2.137 0.000
Dy 2.469 4.277 4.212
Dy 2.469 -4.277 4.212
Th 2.469 0.000 4.212
Se 1.223 2.159 2.626
Se -0.023 0.000 5.798
Se 1.223 -2.159 2.626
Se 3.715 2.159 5.798
Se 4.961 0.000 2.627
Se 3.715 -2.159 5.798
```

## Properties
Formation energy from raw total energies (eV per atom): -1.6578
Uncorrected energy (eV/atom): -4.999
DOS(E_F) (states/eV per atom): 0.342